Entry 1:
Density functional theory data (PBE) for a relaxed BaZrSi2 crystal.

Computed properties:
Final energy = -5.303 eV/atom
DOS(E_F) = 7.0 states/eV/cell
Total magnetization = 0.00 μB per cell
Relative energy among the computed polymorphs = 0.4274 eV/atom
Raw formation energy = 0.026 eV/atom

The structure in extended XYZ format:
```
8
Lattice="4.758 0.000 0.000 0.000 4.831 0.000 0.000 0.000 8.447" Properties=species:S:1:pos:R:3 pbc="T T T"
Ba 0.000 0.000 0.000
Ba 2.379 2.415 0.000
Zr 0.000 2.415 3.354
Zr 2.379 0.000 3.354
Si 0.000 0.000 4.964
Si 0.000 2.415 6.031
Si 2.379 0.000 6.031
Si 2.379 2.415 4.964
```

***

Entry 2:
Density functional theory data (PBE) for a relaxed BaZr2Si crystal.

Computed properties:
Final energy = -6.069 eV/atom
DOS(E_F) = 5.4 states/eV/cell
Total magnetization = 0.00 μB per cell
Raw formation energy = 0.042 eV/atom

The structure in extended XYZ format:
```
4
Lattice="3.583 0.000 0.000 0.000 3.583 0.000 0.000 0.000 8.017" Properties=species:S:1:pos:R:3 pbc="T T T"
Ba 0.000 0.000 0.000
Zr 1.791 1.791 2.664
Zr 1.791 1.791 5.353
Si 0.000 0.000 4.008
```

***

Entry 3:
Density functional theory data (PBE) for a relaxed Ba2ZrSi crystal.

Computed properties:
Final energy = -4.397 eV/atom
DOS(E_F) = 10.4 states/eV/cell
Total magnetization = 0.01 μB per cell
Raw formation energy = 0.058 eV/atom

The structure in extended XYZ format:
```
8
Lattice="4.109 0.000 0.000 0.000 5.729 0.000 0.000 0.000 11.816" Properties=species:S:1:pos:R:3 pbc="T T T"
Ba 0.000 0.000 0.000
Ba 0.000 2.865 2.313
Ba 2.055 0.000 8.221
Ba 2.055 2.865 5.908
Zr 0.000 0.000 4.635
Zr 2.055 2.865 10.543
Si 0.000 2.865 8.888
Si 2.055 0.000 2.980
```

***

Entry 4:
Density functional theory data (PBE) for a relaxed Ba2ZrSi crystal.

Computed properties:
Final energy = -4.117 eV/atom
DOS(E_F) = 14.3 states/eV/cell
Total magnetization = 8.02 μB per cell
Raw formation energy = 0.338 eV/atom

The structure in extended XYZ format:
```
16
Lattice="11.877 0.000 0.000 0.000 11.877 0.000 0.000 0.000 5.245" Properties=species:S:1:pos:R:3 pbc="T T T"
Ba 1.177 2.969 0.656
Ba 2.969 7.115 1.967
Ba 2.969 10.700 4.589
Ba 4.762 2.969 3.278
Ba 7.115 8.908 3.278
Ba 8.908 1.177 4.589
Ba 8.908 4.762 1.967
Ba 10.700 8.908 0.656
Zr 0.000 0.000 2.622
Zr 0.000 5.939 3.934
Zr 5.939 0.000 1.311
Zr 5.939 5.939 0.000
Si 0.000 0.000 0.000
Si 0.000 5.939 1.311
Si 5.939 0.000 3.934
Si 5.939 5.939 2.622
```

***

Entry 5:
Density functional theory data (PBE) for a relaxed Ba2ZrSi2 crystal.

Computed properties:
Final energy = -3.815 eV/atom
DOS(E_F) = 11.6 states/eV/cell
Total magnetization = 3.54 μB per cell
Relative energy among the computed polymorphs = 0.3265 eV/atom
Raw formation energy = 0.833 eV/atom

The structure in extended XYZ format:
```
10
Lattice="5.718 0.000 0.000 0.000 5.718 0.000 0.000 0.000 10.436" Properties=species:S:1:pos:R:3 pbc="T T T"
Ba 0.000 0.000 1.571
Ba 0.000 0.000 8.865
Ba 2.859 2.859 3.647
Ba 2.859 2.859 6.789
Zr 0.000 0.000 5.218
Zr 2.859 2.859 0.000
Si 0.000 2.859 2.609
Si 0.000 2.859 7.827
Si 2.859 0.000 2.609
Si 2.859 0.000 7.827
```

***

Entry 6:
Density functional theory data (PBE) for a relaxed BaZr3Si crystal.

Computed properties:
Final energy = -4.635 eV/atom
DOS(E_F) = 9.7 states/eV/cell
Total magnetization = 0.00 μB per cell
Relative energy among the computed polymorphs = 1.6661 eV/atom
Raw formation energy = 1.963 eV/atom

The structure in extended XYZ format:
```
5
Lattice="5.236 0.000 0.000 0.000 5.236 0.000 0.000 0.000 5.236" Properties=species:S:1:pos:R:3 pbc="T T T"
Ba 0.000 0.000 0.000
Zr 0.000 0.000 2.618
Zr 0.000 2.618 0.000
Zr 2.618 0.000 0.000
Si 2.618 2.618 2.618
```

***

Entry 7:
Density functional theory data (PBE) for a relaxed Ba2ZrSi crystal.

Computed properties:
Final energy = -4.006 eV/atom
DOS(E_F) = 3.9 states/eV/cell
Total magnetization = 2.25 μB per cell
Raw formation energy = 0.448 eV/atom

The structure in extended XYZ format:
```
4
Lattice="3.677 0.000 0.000 0.000 4.623 0.000 0.000 0.000 7.947" Properties=species:S:1:pos:R:3 pbc="T T T"
Ba 0.000 0.000 1.731
Ba 0.000 0.000 6.216
Zr 1.838 2.311 3.974
Si 1.838 2.311 0.000
```

***

Entry 8:
Density functional theory data (PBE) for a relaxed BaZrSi2 crystal.

Computed properties:
Final energy = -4.783 eV/atom
DOS(E_F) = 13.7 states/eV/cell
Total magnetization = 0.00 μB per cell
Relative energy among the computed polymorphs = 0.9477 eV/atom
Raw formation energy = 0.546 eV/atom

The structure in extended XYZ format:
```
16
Lattice="7.105 0.000 0.000 0.000 7.105 0.000 0.000 0.000 7.105" Properties=species:S:1:pos:R:3 pbc="T T T"
Ba 0.000 0.000 0.000
Ba 0.000 3.552 3.552
Ba 3.552 0.000 3.552
Ba 3.552 3.552 0.000
Zr 1.776 1.776 1.776
Zr 1.776 5.329 5.329
Zr 5.329 1.776 5.329
Zr 5.329 5.329 1.776
Si 0.000 0.000 3.552
Si 0.000 3.552 0.000
Si 1.776 1.776 5.329
Si 1.776 5.329 1.776
Si 3.552 0.000 0.000
Si 3.552 3.552 3.552
Si 5.329 1.776 1.776
Si 5.329 5.329 5.329
```

***

Q: Number 2 is which compound?
A: BaZr2Si

***

Q: What is the raw formation energy in the first record?
A: 0.026 eV/atom

***

Q: Which value of final energy does entry 6 give?
A: -4.635 eV/atom